No. 1
A plane-wave DFT calculation with SCAN was carried out for a PBEsol-optimized structure of CeAlRu.

D(E_F): 2.56 states/eV/f.u.
M_tot: 0.00 μB per formula unit
calculated formation energy: -655 meV/atom
space group: No. 62

Lattice parameters (Å, degrees): 4.0697 6.7362 8.1222 90.00 90.00 90.00
Last column: nearest neighbours and their distance in Å.
Element x y z (fractional)
Ru 0.7500 0.7483 0.3719  4 Al 2.63-2.69, 5 Ce 2.83-2.93
Ru 0.7500 0.2483 0.1281  4 Al 2.63-2.69, 5 Ce 2.83-2.93
Ru 0.2500 0.7517 0.8719  4 Al 2.63-2.69, 5 Ce 2.83-2.93
Ru 0.2500 0.2517 0.6281  4 Al 2.63-2.69, 5 Ce 2.83-2.93
Al 0.2500 0.1317 0.9442  4 Ru 2.63-2.69, 2 Al 2.85
Al 0.7500 0.3683 0.4442  4 Ru 2.63-2.69, 2 Al 2.85
Al 0.7500 0.8683 0.0558  4 Ru 2.63-2.69, 2 Al 2.85
Al 0.2500 0.6317 0.5558  4 Ru 2.63-2.69, 2 Al 2.85
Ce 0.2500 0.5340 0.1822  5 Ru 2.83-2.93, 3 Al 3.11-3.15
Ce 0.7500 0.4660 0.8178  5 Ru 2.83-2.93, 3 Al 3.11-3.15
Ce 0.2500 0.0340 0.3178  5 Ru 2.83-2.93, 3 Al 3.11-3.15
Ce 0.7500 0.9660 0.6822  5 Ru 2.83-2.93, 3 Al 3.11-3.15

No. 2
A plane-wave DFT calculation with SCAN was carried out for a PBEsol-optimized structure of Tl2HgI.

D(E_F): 3.18 states/eV/f.u.
M_tot: 0.00 μB per formula unit
energy relative to the elements, uncorrected: -0.148 eV/atom
space group: No. 225

Lattice parameters (Å, degrees): 5.5968 5.5968 5.5968 60.00 60.00 60.00
Last column: nearest neighbours and their distance in Å.
Element x y z (fractional)
I 0.0000 0.0000 0.0000  8 Tl 3.43
Tl 0.2500 0.2500 0.2500  4 Hg 3.43, 4 I 3.43
Tl 0.7500 0.7500 0.7500  4 I 3.43, 4 Hg 3.43
Hg 0.5000 0.5000 0.5000  8 Tl 3.43

No. 3
A plane-wave DFT calculation with SCAN was carried out for a PBEsol-optimized structure of BaLiAg2.

D(E_F): 1.23 states/eV/f.u.
M_tot: 0.00 μB per formula unit
calculated formation energy: -135 meV/atom
space group: No. 123

Lattice parameters (Å, degrees): 3.6189 3.6285 7.2495 90.00 90.05 90.00
Last column: nearest neighbours and their distance in Å.
Element x y z (fractional)
Ba 0.5000 0.5000 0.0000  8 Ag 3.42-3.43, 4 Ba 3.62-3.63, 2 Li 3.62
Ag 0.0001 0.0000 0.6867  1 Ag 2.71, 4 Li 2.90
Ag 0.9999 0.0000 0.3133  1 Ag 2.71, 4 Li 2.90
Li 0.5000 0.5000 0.5000  8 Ag 2.90

No. 4
A plane-wave DFT calculation with SCAN was carried out for a PBEsol-optimized structure of SbRu3Pb.

D(E_F): 6.41 states/eV/f.u.
M_tot: 1.35 μB per formula unit
energy relative to the elements, uncorrected: 1.485 eV/atom
space group: No. 221

Lattice parameters (Å, degrees): 4.7714 4.7714 4.7714 90.00 90.00 90.00
Last column: nearest neighbours and their distance in Å.
Element x y z (fractional)
Pb 0.5000 0.5000 0.5000  12 Ru 3.37
Sb 0.0000 0.0000 0.0000  6 Ru 2.39
Ru 0.0000 0.5000 0.0000  2 Sb 2.39
Ru 0.0000 0.0000 0.5000  2 Sb 2.39
Ru 0.5000 0.0000 0.0000  2 Sb 2.39

No. 5
A plane-wave DFT calculation with SCAN was carried out for a PBEsol-optimized structure of TaPRu2.

D(E_F): 2.16 states/eV/f.u.
M_tot: 0.00 μB per formula unit
calculated formation energy: -432 meV/atom
space group: No. 71

Lattice parameters (Å, degrees): 2.8695 4.3996 5.0700 115.71 106.44 90.00
Last column: nearest neighbours and their distance in Å.
Element x y z (fractional)
P 0.0000 0.5000 0.0000  4 Ru 2.35, 4 Ta 2.63
Ru 0.7145 0.7145 0.4290  2 P 2.35
Ru 0.2855 0.2855 0.5710  2 P 2.35
Ta 0.5000 0.0000 0.0000  4 P 2.63, 8 Ru 2.86-2.88, 2 Ta 2.87

No. 6
A plane-wave DFT calculation with SCAN was carried out for a PBEsol-optimized structure of La2ScAl.

D(E_F): 4.14 states/eV/f.u.
M_tot: 0.00 μB per formula unit
calculated formation energy: -172 meV/atom
space group: No. 123

Lattice parameters (Å, degrees): 4.6831 4.6831 4.8230 90.00 90.00 90.00
Last column: nearest neighbours and their distance in Å.
Element x y z (fractional)
Sc 0.5000 0.5000 0.5000  4 Al 3.31, 8 La 3.36
Al 0.0000 0.0000 0.5000  4 Sc 3.31, 8 La 3.36
La 0.0000 0.5000 0.0000  4 La 3.31, 4 Al 3.36, 4 Sc 3.36
La 0.5000 0.0000 0.0000  4 La 3.31, 4 Al 3.36, 4 Sc 3.36

No. 7
A plane-wave DFT calculation with SCAN was carried out for a PBEsol-optimized structure of Sr2ErGaCu2O7.

D(E_F): 1.50 states/eV/f.u.
M_tot: 0.00 μB per formula unit
energy relative to the elements, uncorrected: -2.382 eV/atom
space group: No. 46

Lattice parameters (Å, degrees): 5.3187 5.4126 12.0144 103.02 102.79 90.00
Last column: nearest neighbours and their distance in Å.
Element x y z (fractional)
Sr 0.3503 0.3643 0.6999  3 O 2.44-2.60
Sr 0.6504 0.6357 0.3001  3 O 2.44-2.60
Sr 0.8503 0.8356 0.6999  3 O 2.44-2.60
Sr 0.1504 0.1644 0.3001  3 O 2.44-2.60
Er 0.5022 0.5000 0.0000  8 O 2.34-2.39
Er 0.0022 0.0000 0.0000  8 O 2.34-2.39
Ga 0.7091 0.1808 0.5000  4 O 1.84-1.91
Ga 0.2091 0.8192 0.5000  4 O 1.84-1.91
Cu 0.9323 0.4290 0.8591  4 O 1.90-1.91
Cu 0.0733 0.5710 0.1409  4 O 1.90-1.91
Cu 0.4323 0.9301 0.8591  4 O 1.90-1.91
Cu 0.5733 0.0699 0.1409  4 O 1.90-1.91
O 0.8534 0.8604 0.5000  2 Ga 1.90-1.91
O 0.3534 0.1396 0.5000  2 Ga 1.90-1.91
O 0.1916 0.1887 0.8744  2 Cu 1.90
O 0.3171 0.8113 0.1256  2 Cu 1.90
O 0.6916 0.1857 0.8744  2 Cu 1.90
O 0.8171 0.8143 0.1256  2 Cu 1.90
O 0.6893 0.6864 0.8783  2 Cu 1.91
O 0.8110 0.3136 0.1217  2 Cu 1.91
O 0.1893 0.6919 0.8783  2 Cu 1.91
O 0.3110 0.3081 0.1217  2 Cu 1.91
O 0.3494 0.7850 0.6497  1 Ga 1.84
O 0.6997 0.2150 0.3503  1 Ga 1.84
O 0.8494 0.3647 0.6497  1 Ga 1.84
O 0.1997 0.6353 0.3503  1 Ga 1.84

No. 8
A plane-wave DFT calculation with SCAN was carried out for a PBEsol-optimized structure of ZnInH2Pb.

energy: -25.483 eV per atom
D(E_F): 1.52 states/eV/f.u.
M_tot: 0.00 μB per formula unit
space group: No. 123

Lattice parameters (Å, degrees): 3.9880 3.9880 5.9953 90.00 90.00 90.00
Last column: nearest neighbours and their distance in Å.
Element x y z (fractional)
Pb 0.0000 0.0000 0.0000  4 H 1.99
H 0.0000 0.5000 0.0000  2 Pb 1.99
H 0.5000 0.0000 0.0000  2 Pb 1.99
Zn 0.5000 0.5000 0.5000  4 In 2.82
In 0.0000 0.0000 0.5000  4 Zn 2.82, 2 Pb 3.00

No. 9
A plane-wave DFT calculation with SCAN was carried out for a PBEsol-optimized structure of KBaRh2.

D(E_F): 2.75 states/eV/f.u.
M_tot: 0.00 μB per formula unit
calculated formation energy: 754 meV/atom
space group: No. 166

Lattice parameters (Å, degrees): 3.3325 3.3325 9.8479 80.26 80.26 60.00
Last column: nearest neighbours and their distance in Å.
Element x y z (fractional)
Ba 0.5000 0.5000 0.5000  6 Rh 2.96
K 0.0000 0.0000 0.0000  6 Rh 3.22, 6 K 3.33
Rh 0.2441 0.2441 0.2677  3 Ba 2.96, 3 K 3.22
Rh 0.7559 0.7559 0.7323  3 Ba 2.96, 3 K 3.22

No. 10
A plane-wave DFT calculation with SCAN was carried out for a PBEsol-optimized structure of SrCaMn2O6.

M_tot: 6.01 μB per formula unit
energy relative to the elements, uncorrected: -2.650 eV/atom
space group: No. 25

Lattice parameters (Å, degrees): 3.7275 5.3328 5.3953 90.00 90.00 90.00
Last column: nearest neighbours and their distance in Å.
Element x y z (fractional)
Sr 0.0000 0.5000 0.5087  12 O 2.59-2.80
Ca 0.0000 0.0000 0.0255  7 O 2.45-2.67
Mn 0.5000 0.5000 0.0186  6 O 1.80-2.00
Mn 0.5000 0.0000 0.5211  4 O 1.79-1.88
O 0.0000 0.0000 0.4795  2 Mn 1.88
O 0.0000 0.5000 0.9895  2 Mn 1.87
O 0.5000 0.7500 0.7431  2 Mn 1.79-2.00
O 0.5000 0.2426 0.2354  2 Mn 1.80-2.01
O 0.5000 0.7574 0.2354  2 Mn 1.80-2.01
O 0.5000 0.2500 0.7431  2 Mn 1.79-2.00

No. 11
A plane-wave DFT calculation with SCAN was carried out for a PBEsol-optimized structure of Tc2SbW.

D(E_F): 2.86 states/eV/f.u.
M_tot: 0.00 μB per formula unit
energy relative to the elements, uncorrected: 0.320 eV/atom
space group: No. 25

Lattice parameters (Å, degrees): 2.9515 4.1151 5.2487 90.00 90.00 90.00
Last column: nearest neighbours and their distance in Å.
Element x y z (fractional)
Sb 0.5000 0.5000 0.7630  6 Tc 2.62-2.82
Tc 0.0000 0.0000 0.9987  2 W 2.50-2.75
Tc 0.5000 0.5000 0.2627  2 Sb 2.62-2.63, 4 W 2.77, 4 Tc 2.89
W 0.0000 0.0000 0.4756  6 Tc 2.50-2.77

No. 12
A plane-wave DFT calculation with SCAN was carried out for a PBEsol-optimized structure of Ta2Zn2NiO8.

D(E_F): 0.00 states/eV/f.u.
M_tot: 1.93 μB per formula unit
energy relative to the elements, uncorrected: -2.352 eV/atom
space group: No. 15

Lattice parameters (Å, degrees): 5.1888 5.8326 9.8374 107.24 90.26 90.00
Last column: nearest neighbours and their distance in Å.
Element x y z (fractional)
Ta 0.2587 0.9522 0.2240  5 O 1.86-2.02
Ta 0.2413 0.7282 0.7760  5 O 1.86-2.02
Ta 0.7413 0.0478 0.7760  5 O 1.86-2.02
Ta 0.7587 0.2718 0.2240  5 O 1.86-2.02
Zn 0.2361 0.1242 0.5616  4 O 1.94-2.09
Zn 0.2639 0.5626 0.4384  4 O 1.94-2.09
Zn 0.7639 0.8758 0.4384  4 O 1.94-2.09
Zn 0.7361 0.4374 0.5616  4 O 1.94-2.09
Ni 0.2500 0.3640 0.0000  6 O 2.02-2.09
Ni 0.7500 0.6360 0.0000  6 O 2.02-2.09
O 0.9187 0.9477 0.1324  2 Ta 1.97-2.02, 1 Ni 2.09
O 0.5813 0.8153 0.8676  2 Ta 1.97-2.02, 1 Ni 2.09
O 0.0813 0.0523 0.8676  2 Ta 1.97-2.02, 1 Ni 2.09
O 0.4187 0.1847 0.1324  2 Ta 1.97-2.02, 1 Ni 2.09
O 0.4172 0.6754 0.1128  1 Ta 1.86, 2 Ni 2.02-2.03
O 0.0828 0.5626 0.8872  1 Ta 1.86, 2 Ni 2.02-2.03
O 0.5828 0.3246 0.8872  1 Ta 1.86, 2 Ni 2.02-2.03
O 0.9172 0.4374 0.1128  1 Ta 1.86, 2 Ni 2.02-2.03
O 0.5604 0.0784 0.3543  1 Zn 1.94, 1 Ta 2.01
O 0.9396 0.7241 0.6457  1 Zn 1.94, 1 Ta 2.01
O 0.0604 0.2759 0.3543  1 Zn 1.94, 1 Ta 2.01
O 0.4396 0.9216 0.6457  1 Zn 1.94, 1 Ta 2.01
O 0.6351 0.5473 0.3848  3 Zn 1.95-2.09, 1 Ta 2.00
O 0.8649 0.1625 0.6152  3 Zn 1.95-2.09, 1 Ta 2.00
O 0.3649 0.4527 0.6152  3 Zn 1.95-2.09, 1 Ta 2.00
O 0.1351 0.8375 0.3848  3 Zn 1.95-2.09, 1 Ta 2.00

No. 13
A plane-wave DFT calculation with SCAN was carried out for a PBEsol-optimized structure of ScCo2SnC.

D(E_F): 3.83 states/eV/f.u.
M_tot: 2.90 μB per formula unit
calculated formation energy: 2021 meV/atom
space group: No. 123

Lattice parameters (Å, degrees): 4.5229 4.5229 5.3226 90.00 90.00 90.00
Last column: nearest neighbours and their distance in Å.
Element x y z (fractional)
Sc 0.0000 0.0000 0.5000  2 Sn 2.66
C 0.5000 0.5000 0.5000  4 Sc 3.20, 8 Co 3.49
Co 0.0000 0.5000 0.0000  2 Sn 2.26
Co 0.5000 0.0000 0.0000  2 Sn 2.26
Sn 0.0000 0.0000 0.0000  4 Co 2.26

No. 14
A plane-wave DFT calculation with SCAN was carried out for a PBEsol-optimized structure of LiCa2Pt2.

D(E_F): 1.42 states/eV/f.u.
M_tot: 0.00 μB per formula unit
calculated formation energy: -826 meV/atom
space group: No. 127

Lattice parameters (Å, degrees): 4.0266 7.2882 7.2882 90.00 90.00 90.00
Last column: nearest neighbours and their distance in Å.
Element x y z (fractional)
Ca 0.5000 0.1682 0.6682  6 Pt 2.89-2.98
Ca 0.5000 0.6682 0.8318  6 Pt 2.89-2.98
Ca 0.5000 0.8318 0.3318  6 Pt 2.89-2.98
Ca 0.5000 0.3318 0.1682  6 Pt 2.89-2.98
Pt 0.0000 0.3697 0.8697  1 Pt 2.69, 2 Li 2.86, 6 Ca 2.89-2.98
Pt 0.0000 0.8697 0.6303  1 Pt 2.69, 2 Li 2.86, 6 Ca 2.89-2.98
Pt 0.0000 0.6303 0.1303  1 Pt 2.69, 2 Li 2.86, 6 Ca 2.89-2.98
Pt 0.0000 0.1303 0.3697  1 Pt 2.69, 2 Li 2.86, 6 Ca 2.89-2.98
Li 0.0000 0.0000 0.0000  4 Pt 2.86
Li 0.0000 0.5000 0.5000  4 Pt 2.86

No. 15
A plane-wave DFT calculation with SCAN was carried out for a PBEsol-optimized structure of Sr5Al9.

D(E_F): 6.07 states/eV/f.u.
M_tot: 0.03 μB per formula unit
calculated formation energy: -281 meV/atom
space group: No. 166

Lattice parameters (Å, degrees): 5.8030 5.8030 12.2517 76.30 76.30 60.00
Last column: nearest neighbours and their distance in Å.
Element x y z (fractional)
Sr 0.2169 0.2169 0.3494  10 Al 3.25-3.41, 1 Sr 3.52
Sr 0.7831 0.7831 0.6506  10 Al 3.25-3.41, 1 Sr 3.52
Sr 0.3164 0.3164 0.0508  12 Al 3.35-3.40, 4 Sr 3.52-3.56
Sr 0.6836 0.6836 0.9492  12 Al 3.35-3.40, 4 Sr 3.52-3.56
Sr 0.5000 0.5000 0.5000  12 Al 3.66-3.92, 6 Sr 3.79
Al 0.2363 0.7250 0.8024  6 Al 2.70-2.97
Al 0.7250 0.2363 0.8024  6 Al 2.70-2.97
Al 0.2363 0.2363 0.8024  6 Al 2.70-2.97
Al 0.7637 0.2750 0.1976  6 Al 2.70-2.97
Al 0.7637 0.7637 0.1976  6 Al 2.70-2.97
Al 0.2750 0.7637 0.1976  6 Al 2.70-2.97
Al 0.1249 0.1249 0.6253  3 Al 2.70
Al 0.8751 0.8751 0.3747  3 Al 2.70
Al 0.0000 0.0000 0.0000  6 Al 2.89

No. 16
A plane-wave DFT calculation with SCAN was carried out for a PBEsol-optimized structure of MnZnNi.

D(E_F): 1.15 states/eV/f.u.
M_tot: 4.20 μB per formula unit
calculated formation energy: -236 meV/atom
space group: No. 107

Lattice parameters (Å, degrees): 2.7092 2.7092 5.2874 104.84 104.84 90.00
Last column: nearest neighbours and their distance in Å.
Element x y z (fractional)
Mn 0.9914 0.9914 0.9829  4 Ni 2.46, 4 Zn 2.62, 4 Mn 2.71
Ni 0.3352 0.3352 0.6703  4 Mn 2.46, 4 Zn 2.49, 4 Ni 2.71
Zn 0.6734 0.6734 0.3468  4 Ni 2.49, 4 Mn 2.62, 4 Zn 2.71

No. 17
A plane-wave DFT calculation with SCAN was carried out for a PBEsol-optimized structure of ScIrI2N.

D(E_F): 2.90 states/eV/f.u.
M_tot: 1.16 μB per formula unit
energy relative to the elements, uncorrected: 0.165 eV/atom
space group: No. 123

Lattice parameters (Å, degrees): 3.6874 5.5704 5.5704 90.00 90.00 90.00
Last column: nearest neighbours and their distance in Å.
Element x y z (fractional)
I 0.0000 0.0000 0.5000  2 Ir 2.79
I 0.0000 0.5000 0.0000  2 Ir 2.79
Sc 0.5000 0.5000 0.5000  8 I 3.34, 2 Sc 3.69
Ir 0.0000 0.0000 0.0000  2 N 1.84
N 0.5000 0.0000 0.0000  2 Ir 1.84

No. 18
A plane-wave DFT calculation with SCAN was carried out for a PBEsol-optimized structure of TlIn4Si.

D(E_F): 3.60 states/eV/f.u.
M_tot: 0.00 μB per formula unit
energy relative to the elements, uncorrected: 0.440 eV/atom
space group: No. 216

Lattice parameters (Å, degrees): 6.0135 6.0135 6.0135 60.00 60.00 60.00
Last column: nearest neighbours and their distance in Å.
Element x y z (fractional)
In 0.3753 0.3753 0.3753  6 In 3.00-3.02
In 0.3753 0.3753 0.8740  6 In 3.00-3.02
In 0.8740 0.3753 0.3753  6 In 3.00-3.02
In 0.3753 0.8740 0.3753  6 In 3.00-3.02
Si 0.7500 0.7500 0.7500  12 In 3.52, 4 Tl 3.68
Tl 0.0000 0.0000 0.0000  12 In 3.53, 4 Si 3.68

No. 19
A plane-wave DFT calculation with SCAN was carried out for a PBEsol-optimized structure of KSiSb2.

D(E_F): 1.47 states/eV/f.u.
M_tot: 0.00 μB per formula unit
energy relative to the elements, uncorrected: 0.208 eV/atom
space group: No. 123

Lattice parameters (Å, degrees): 3.4534 3.4534 8.8665 90.00 90.00 90.00
Last column: nearest neighbours and their distance in Å.
Element x y z (fractional)
Sb 0.0000 0.0000 0.3093  4 Si 2.97
Sb 0.0000 0.0000 0.6907  4 Si 2.97
K 0.5000 0.5000 0.0000  4 K 3.45, 8 Sb 3.67
Si 0.5000 0.5000 0.5000  8 Sb 2.97

No. 20
A plane-wave DFT calculation with SCAN was carried out for a PBEsol-optimized structure of ZrPdW3.

D(E_F): 4.05 states/eV/f.u.
M_tot: 0.00 μB per formula unit
calculated formation energy: 2751 meV/atom
space group: No. 221

Lattice parameters (Å, degrees): 4.6526 4.6526 4.6526 90.00 90.00 90.00
Last column: nearest neighbours and their distance in Å.
Element x y z (fractional)
Zr 0.0000 0.0000 0.0000  6 W 2.33
Pd 0.5000 0.5000 0.5000  12 W 3.29
W 0.0000 0.5000 0.0000  2 Zr 2.33
W 0.0000 0.0000 0.5000  2 Zr 2.33
W 0.5000 0.0000 0.0000  2 Zr 2.33